(1)
First-principles (GGA-PBE) data for a relaxed SrMnHg2 crystal, as listed in the Alexandria database.

a = 8.210 Å, b = 4.991 Å, c = 4.177 Å
α = 89.99°, β = 59.44°, γ = 127.57°
Site moments in Bohr magnetons follow the coordinates.
Element x y z (fractional)
Hg: 0.500 0.000 0.500  -0.02
Hg: 0.000 0.000 0.000  -0.02
Mn: 0.000 0.500 0.500  4.13
Sr: 0.500 0.500 0.000  -0.03

Properties
The formation energy comes out at 59 meV/atom. The raw total energy is -11.22 eV/cell. Its size of the total moment is 4.180 μB/cell. As for the space group: Cmmm (65).



(2)
First-principles (GGA-PBE) data for a relaxed SrMnHg2 crystal, as listed in the Alexandria database.

a = 5.205 Å, b = 5.205 Å, c = 10.008 Å
α = 74.93°, β = 74.93°, γ = 90.00°
Site moments in Bohr magnetons follow the coordinates.
Element x y z (fractional)
Sr: 0.750 0.250 0.500  -0.04
Sr: 0.000 0.000 0.000  -0.04
Mn: 0.250 0.750 0.500  3.94
Mn: 0.500 0.500 0.000  3.94
Hg: 0.511 0.125 0.250  -0.03
Hg: 0.375 0.489 0.750  -0.03
Hg: 0.875 0.761 0.750  -0.03
Hg: 0.239 0.625 0.250  -0.03

Properties
The formation energy comes out at 171 meV/atom. The raw total energy is -21.54 eV/cell. Its size of the total moment is 7.814 μB/cell. As for the space group: I-42d (122).



(3)
First-principles (GGA-PBE) data for a relaxed SrMn2Hg crystal, as listed in the Alexandria database.

a = 4.736 Å, b = 3.516 Å, c = 6.120 Å
α = 77.86°, β = 90.00°, γ = 90.00°
Site moments in Bohr magnetons follow the coordinates.
Element x y z (fractional)
Mn: 0.000 0.581 0.560  3.91
Mn: 0.000 0.919 0.940  3.91
Sr: 0.500 0.250 0.250  -0.03
Hg: 0.500 0.750 0.750  -0.04

Properties
The formation energy comes out at 484 meV/atom. The raw total energy is -18.39 eV/cell. Its size of the total moment is 8.160 μB/cell. As for the space group: P2/m (10).



(4)
First-principles (GGA-PBE) data for a relaxed SrMn2Hg crystal, as listed in the Alexandria database.

a = 3.626 Å, b = 3.620 Å, c = 7.333 Å
α = 90.00°, β = 90.00°, γ = 90.00°
Site moments in Bohr magnetons follow the coordinates.
Element x y z (fractional)
Mn: 0.000 0.000 0.933  3.82
Mn: 0.000 0.000 0.567  3.82
Sr: 0.500 0.500 0.250  -0.01
Hg: 0.500 0.500 0.750  -0.06

Properties
The formation energy comes out at 488 meV/atom. The raw total energy is -18.37 eV/cell. Its size of the total moment is 8.106 μB/cell. As for the space group: P4/mmm (123).



(5)
First-principles (GGA-PBE) data for a relaxed SrMnHg2 crystal, as listed in the Alexandria database.

a = 5.748 Å, b = 5.748 Å, c = 5.748 Å
α = 131.95°, β = 131.95°, γ = 70.30°
Site moments in Bohr magnetons follow the coordinates.
Element x y z (fractional)
Sr: 0.750 0.250 0.500  -0.01
Mn: 0.500 0.500 0.000  4.09
Hg: 0.000 0.000 0.000  -0.01
Hg: 0.250 0.750 0.500  0.00

Properties
The formation energy comes out at 98 meV/atom. The raw total energy is -11.06 eV/cell. Its size of the total moment is 4.340 μB/cell. As for the space group: I-4m2 (119).



(6)
First-principles (GGA-PBE) data for a relaxed SrMn2Hg crystal, as listed in the Alexandria database.

a = 4.921 Å, b = 4.921 Å, c = 10.156 Å
α = 75.98°, β = 75.98°, γ = 90.00°
Site moments in Bohr magnetons follow the coordinates.
Element x y z (fractional)
Sr: 0.250 0.750 0.500  -0.04
Sr: 0.500 0.500 0.000  -0.04
Mn: 0.375 0.125 0.750  3.59
Mn: 0.875 0.125 0.750  3.60
Mn: 0.875 0.125 0.250  3.40
Mn: 0.875 0.625 0.250  3.40
Hg: 0.750 0.250 0.500  -0.04
Hg: 0.000 0.000 0.000  -0.04

Properties
The formation energy comes out at 558 meV/atom. The raw total energy is -36.18 eV/cell. Its size of the total moment is 14.348 μB/cell. As for the space group: I4_1/amd (141).